# Re3Si PBE optimized geometry
data_Re3Si
_chemical_formula_sum 'Re6 Si2'
_symmetry_space_group_name_H-M 'P m -3 n'
_symmetry_Int_Tables_number 223
_symmetry_space_group_name_Hall '-P 4n 2 3'
_cell_length_a 4.879
_cell_length_b 4.879
_cell_length_c 4.879
_cell_angle_alpha 90.00
_cell_angle_beta 90.00
_cell_angle_gamma 90.00
loop_
_atom_site_label
_atom_site_fract_x
_atom_site_fract_y
_atom_site_fract_z
Re1 0.000 0.250 0.500
Si1 0.000 0.000 0.000
# ΔE_f (raw): 0.256 eV/atom
# Relative energy among the computed polymorphs: 1.43 eV per formula unit
# Total moment: 0.0 μB/f.u.
# Electronic total energy: -10.436 eV/atom
# DOS at the Fermi energy: 6.42 states/eV per cell
# Calculated volume: 116 Å³/cell

# ReSi3 PBE optimized geometry
data_ReSi3
_chemical_formula_sum 'Re1 Si3'
_symmetry_space_group_name_H-M 'P m -3 m'
_symmetry_Int_Tables_number 221
_symmetry_space_group_name_Hall '-P 4 2 3'
_cell_length_a 3.783
_cell_length_b 3.783
_cell_length_c 3.783
_cell_angle_alpha 90.00
_cell_angle_beta 90.00
_cell_angle_gamma 90.00
loop_
_atom_site_label
_atom_site_fract_x
_atom_site_fract_y
_atom_site_fract_z
Re1 0.000 0.000 0.000
Si1 0.000 0.500 0.500
# ΔE_f (raw): 0.467 eV/atom
# Total moment: 0.0 μB/f.u.
# Electronic total energy: -6.712 eV/atom
# DOS at the Fermi energy: 2.66 states/eV per cell
# Calculated volume: 54 Å³/cell

# Re3Si PBE optimized geometry
data_Re3Si
_chemical_formula_sum 'Re6 Si2'
_symmetry_space_group_name_H-M 'I 4/m m m'
_symmetry_Int_Tables_number 139
_symmetry_space_group_name_Hall '-I 4 2'
_cell_length_a 3.837
_cell_length_b 3.837
_cell_length_c 7.835
_cell_angle_alpha 90.00
_cell_angle_beta 90.00
_cell_angle_gamma 90.00
loop_
_atom_site_label
_atom_site_fract_x
_atom_site_fract_y
_atom_site_fract_z
Re1 0.000 0.000 0.000
Re2 0.000 0.500 0.250
Si1 0.000 0.000 0.500
# ΔE_f (raw): 0.174 eV/atom
# Relative energy among the computed polymorphs: 1.11 eV per formula unit
# Total moment: 0.0 μB/f.u.
# Electronic total energy: -10.518 eV/atom
# DOS at the Fermi energy: 8.72 states/eV per cell
# Calculated volume: 115 Å³/cell

# Re2Si PBE optimized geometry
data_Re2Si
_chemical_formula_sum 'Re8 Si4'
_symmetry_space_group_name_H-M 'C m c m'
_symmetry_Int_Tables_number 63
_symmetry_space_group_name_Hall '-C 2c 2'
_cell_length_a 2.873
_cell_length_b 13.683
_cell_length_c 4.353
_cell_angle_alpha 90.00
_cell_angle_beta 90.00
_cell_angle_gamma 90.00
loop_
_atom_site_label
_atom_site_fract_x
_atom_site_fract_y
_atom_site_fract_z
Re1 0.000 0.048 0.250
Re2 0.000 0.285 0.750
Si1 0.000 0.387 0.250
# ΔE_f (raw): -0.024 eV/atom
# Relative energy among the computed polymorphs: 0.70 eV per formula unit
# Total moment: 0.0 μB/f.u.
# Electronic total energy: -10.130 eV/atom
# DOS at the Fermi energy: 6.03 states/eV per cell
# Calculated volume: 171 Å³/cell

# Re4Si5 PBE optimized geometry
data_Re4Si5
_chemical_formula_sum 'Re8 Si10'
_symmetry_space_group_name_H-M 'I m m m'
_symmetry_Int_Tables_number 71
_symmetry_space_group_name_Hall '-I 2 2'
_cell_length_a 3.064
_cell_length_b 7.812
_cell_length_c 10.508
_cell_angle_alpha 90.00
_cell_angle_beta 90.00
_cell_angle_gamma 90.00
loop_
_atom_site_label
_atom_site_fract_x
_atom_site_fract_y
_atom_site_fract_z
Re1 0.000 0.195 0.142
Si1 0.000 0.146 0.500
Si2 0.000 0.500 0.222
Si3 0.000 0.500 0.500
# ΔE_f (raw): -0.212 eV/atom
# Total moment: 0.0 μB/f.u.
# Electronic total energy: -8.757 eV/atom
# DOS at the Fermi energy: 9.58 states/eV per cell
# Calculated volume: 252 Å³/cell

# Re2Si PBE optimized geometry
data_Re2Si
_chemical_formula_sum 'Re2 Si1'
_symmetry_space_group_name_H-M 'P -3 m 1'
_symmetry_Int_Tables_number 164
_symmetry_space_group_name_Hall '-P 3 2"'
_cell_length_a 2.7947
_cell_length_b 2.7947
_cell_length_c 6.3407
_cell_angle_alpha 90.00
_cell_angle_beta 90.00
_cell_angle_gamma 120.00
loop_
_atom_site_label
_atom_site_fract_x
_atom_site_fract_y
_atom_site_fract_z
Re1 0.3333 0.6667 0.3305
Si1 0.0000 0.0000 0.0000
# ΔE_f (raw): -0.046 eV/atom
# Relative energy among the computed polymorphs: 0.63 eV per formula unit
# Total moment: 0.0 μB/f.u.
# Electronic total energy: -10.152 eV/atom
# DOS at the Fermi energy: 1.48 states/eV per cell
# Calculated volume: 43 Å³/cell

# Re2Si PBE optimized geometry
data_Re2Si
_chemical_formula_sum 'Re4 Si2'
_symmetry_space_group_name_H-M 'P 63/m m c'
_symmetry_Int_Tables_number 194
_symmetry_space_group_name_Hall '-P 6c 2c'
_cell_length_a 4.1419
_cell_length_b 4.1419
_cell_length_c 6.5262
_cell_angle_alpha 90.00
_cell_angle_beta 90.00
_cell_angle_gamma 120.00
loop_
_atom_site_label
_atom_site_fract_x
_atom_site_fract_y
_atom_site_fract_z
Re1 0.3333 0.6667 0.0586
Si1 0.0000 0.0000 0.2500
# ΔE_f (raw): 0.415 eV/atom
# Relative energy among the computed polymorphs: 2.01 eV per formula unit
# Total moment: 0.0 μB/f.u.
# Electronic total energy: -9.692 eV/atom
# DOS at the Fermi energy: 4.78 states/eV per cell
# Calculated volume: 97 Å³/cell

# Re3Si PBE optimized geometry
data_Re3Si
_chemical_formula_sum 'Re9 Si3'
_symmetry_space_group_name_H-M 'R -3 m'
_symmetry_Int_Tables_number 166
_symmetry_space_group_name_Hall '-R 3 2"'
_cell_length_a 2.7985
_cell_length_b 2.7985
_cell_length_c 25.5991
_cell_angle_alpha 90.00
_cell_angle_beta 90.00
_cell_angle_gamma 120.00
loop_
_atom_site_label
_atom_site_fract_x
_atom_site_fract_y
_atom_site_fract_z
Re1 0.0000 0.0000 0.0000
Re2 0.0000 0.0000 0.2472
Si1 0.0000 0.0000 0.5000
# ΔE_f (raw): 0.011 eV/atom
# Relative energy among the computed polymorphs: 0.45 eV per formula unit
# Total moment: 0.0 μB/f.u.
# Electronic total energy: -10.681 eV/atom
# DOS at the Fermi energy: 13.28 states/eV per cell
# Calculated volume: 174 Å³/cell

Question: Number 1 is which compound?
Answer: Re3Si

Question: electronic total energy of number 7 (Re2Si)?
Answer: -9.692 eV/atom